VASP calculation (PBE) on a geometry-optimized LaNdY2Er structure.

Values from the calculation:
magnetic moment	0.00	μB/f.u.
SG	P2/c (13)
calculated formation energy	6.42	kcal/mol of atoms

a b c (Å): 6.451 9.128 6.351
angles (deg): 108.44 90.00 90.00
Element x y z (fractional)
Er (0.512, 0.000, 0.250)
Nd (0.165, 0.500, 0.750)
Y (0.670, 0.684, 0.837)
Y (0.330, 0.316, 0.163)
Y (0.670, 0.316, 0.663)
La (0.000, 0.000, 0.000)
La (0.000, 0.000, 0.500)
Nd (0.835, 0.500, 0.250)
Y (0.330, 0.684, 0.337)
Er (0.488, 0.000, 0.750)

=====

VASP calculation (PBE) on a geometry-optimized La5Nd2YEr structure.

Values from the calculation:
magnetic moment	0.00	μB/f.u.
SG	I4/mcm (140)
calculated formation energy	6.09	kcal/mol of atoms

a b c (Å): 8.675 8.675 10.592
angles (deg): 114.17 114.17 90.00
Element x y z (fractional)
Nd (0.377, 0.877, 0.000)
Er (0.750, 0.750, 0.500)
La (0.077, 0.577, 0.713)
La (0.364, 0.864, 0.287)
La (0.136, 0.077, 0.713)
La (0.864, 0.923, 0.287)
Nd (0.623, 0.123, 0.000)
Nd (0.877, 0.623, 0.000)
Y (0.750, 0.250, 0.500)
La (0.636, 0.136, 0.713)
Nd (0.123, 0.377, 0.000)
La (0.577, 0.636, 0.713)
La (0.423, 0.364, 0.287)
La (0.500, 0.500, 0.000)
La (0.923, 0.423, 0.287)
La (0.000, 0.000, 0.000)
Y (0.250, 0.750, 0.500)
Er (0.250, 0.250, 0.500)

=====

VASP calculation (PBE) on a geometry-optimized La3NdY6Er2 structure.

Values from the calculation:
magnetic moment	0.00	μB/f.u.
SG	C2/m (12)
calculated formation energy	0.44	kcal/mol of atoms

a b c (Å): 6.264 6.264 11.924
angles (deg): 95.02 95.02 120.00
Element x y z (fractional)
La (0.500, 0.500, 0.500)
Y (0.416, 0.082, 0.245)
Er (0.333, 0.667, 0.000)
Y (0.584, 0.918, 0.755)
Y (0.252, 0.252, 0.754)
Y (0.918, 0.584, 0.755)
La (0.833, 0.167, 0.500)
Er (0.667, 0.333, 0.000)
Y (0.082, 0.416, 0.245)
Nd (0.000, 0.000, 0.000)
La (0.167, 0.833, 0.500)
Y (0.748, 0.748, 0.246)

=====

VASP calculation (PBE) on a geometry-optimized La3NdYEr structure.

Values from the calculation:
magnetic moment	0.00	μB/f.u.
SG	P2_1/m (11)
calculated formation energy	0.69	kcal/mol of atoms

a b c (Å): 5.225 8.123 10.967
angles (deg): 115.78 90.00 90.00
Element x y z (fractional)
Nd (0.750, 0.877, 0.706)
La (0.250, 0.630, 0.459)
Er (0.750, 0.877, 0.377)
La (0.250, 0.124, 0.957)
La (0.750, 0.379, 0.209)
La (0.750, 0.876, 0.043)
La (0.250, 0.621, 0.791)
Y (0.250, 0.629, 0.126)
La (0.750, 0.370, 0.541)
Y (0.750, 0.371, 0.874)
Er (0.250, 0.123, 0.623)
Nd (0.250, 0.123, 0.294)

=====

VASP calculation (PBE) on a geometry-optimized La6NdY2Er structure.

Values from the calculation:
magnetic moment	0.00	μB/f.u.
SG	C2/m (12)
calculated formation energy	4.47	kcal/mol of atoms

a b c (Å): 9.108 7.088 6.741
angles (deg): 121.72 102.26 90.00
Element x y z (fractional)
La (0.193, 0.594, 0.631)
La (0.429, 0.635, 0.270)
La (0.571, 0.365, 0.730)
La (0.193, 0.038, 0.631)
La (0.807, 0.962, 0.369)
Y (0.165, 0.085, 0.170)
Y (0.835, 0.915, 0.830)
La (0.807, 0.406, 0.369)
Er (0.000, 0.500, 0.000)
Nd (0.500, 0.000, 0.000)

=====

VASP calculation (PBE) on a geometry-optimized La2Nd5YEr structure.

Values from the calculation:
magnetic moment	0.00	μB/f.u.
SG	Cmc2_1 (36)
calculated formation energy	2.91	kcal/mol of atoms

a b c (Å): 5.746 10.635 10.834
angles (deg): 90.00 90.00 105.67
Element x y z (fractional)
La (0.117, 0.234, 0.315)
La (0.886, 0.772, 0.235)
Nd (0.015, 0.030, 0.019)
Nd (0.616, 0.233, 0.521)
La (0.114, 0.228, 0.735)
Er (0.200, 0.400, 0.010)
Y (0.406, 0.813, 0.465)
Nd (0.277, 0.555, 0.312)
Nd (0.706, 0.411, 0.204)
Nd (0.384, 0.767, 0.021)
Nd (0.517, 0.034, 0.244)
Nd (0.483, 0.966, 0.744)
Y (0.594, 0.187, 0.965)
Nd (0.723, 0.445, 0.812)
Er (0.800, 0.600, 0.510)
Nd (0.294, 0.589, 0.704)
La (0.883, 0.766, 0.815)
Nd (0.985, 0.970, 0.519)

=====

VASP calculation (PBE) on a geometry-optimized LaNd3Y2Er6 structure.

Values from the calculation:
magnetic moment	0.00	μB/f.u.
SG	C2/m (12)
calculated formation energy	0.49	kcal/mol of atoms

a b c (Å): 6.212 6.212 11.818
angles (deg): 95.01 95.01 119.99
Element x y z (fractional)
Er (0.750, 0.750, 0.250)
Er (0.417, 0.083, 0.250)
La (0.000, 0.000, 0.000)
Er (0.083, 0.417, 0.250)
Er (0.917, 0.583, 0.750)
Nd (0.167, 0.833, 0.500)
Nd (0.833, 0.167, 0.500)
Y (0.667, 0.333, 0.000)
Y (0.333, 0.667, 0.000)
Er (0.583, 0.917, 0.750)
Nd (0.500, 0.500, 0.500)
Er (0.250, 0.250, 0.750)

=====

VASP calculation (PBE) on a geometry-optimized LaNdY2Er5 structure.

Values from the calculation:
magnetic moment	0.00	μB/f.u.
SG	I4/mcm (140)
calculated formation energy	6.51	kcal/mol of atoms

a b c (Å): 8.801 8.801 9.818
angles (deg): 116.63 116.63 90.00
Element x y z (fractional)
Y (0.616, 0.116, 0.000)
Er (0.929, 0.429, 0.267)
Er (0.071, 0.571, 0.733)
Er (0.838, 0.929, 0.267)
Nd (0.250, 0.750, 0.500)
Y (0.884, 0.616, 0.000)
La (0.750, 0.750, 0.500)
La (0.250, 0.250, 0.500)
Er (0.500, 0.500, 0.000)
Y (0.116, 0.384, 0.000)
Er (0.162, 0.071, 0.733)
Er (0.571, 0.662, 0.733)
Nd (0.750, 0.250, 0.500)
Y (0.384, 0.884, 0.000)
Er (0.338, 0.838, 0.267)
Er (0.662, 0.162, 0.733)
Er (0.429, 0.338, 0.267)
Er (0.000, 0.000, 0.000)

=====

| no. | theoretical density (kg/m3) |
| --- | --- |
| 1 | 5881 |
| 2 | 6333 |
| 3 | 5948 |
| 4 | 6475 |
| 5 | 6127 |
| 6 | 6539 |
| 7 | 7484 |
| 8 | 7325 |